Below is an optimized crystal structure of Sc2CdCuOs, with properties calculated at the GGA-PBE level.

Fermi-level density of states = 0.693 states/eV per atom
SG = P4/mmm, No. 123
Formation enthalpy at 0 K = 720 meV per atom

POSCAR file:
```
Sc2CdCuOs
1.0
4.786 0.000 0.000
0.000 4.786 0.000
0.000 0.000 4.586
Sc Cd Cu Os
2 1 1 1
direct
0.000 0.500 0.000
0.500 0.000 0.000
0.000 0.000 0.500
0.000 0.000 0.000
0.500 0.500 0.500
```

***

Below is an optimized crystal structure of ScCdCu2Os, with properties calculated at the GGA-PBE level.

Fermi-level density of states = 0.748 states/eV per atom
SG = P4/mmm, No. 123
Formation enthalpy at 0 K = 684 meV per atom

POSCAR file:
```
ScCdCu2Os
1.0
4.785 0.000 0.000
0.000 4.785 0.000
0.000 0.000 4.793
Sc Cd Cu Os
1 1 2 1
direct
0.000 0.000 0.000
0.500 0.500 0.000
0.000 0.500 0.500
0.500 0.000 0.500
0.000 0.000 0.500
```

***

Below is an optimized crystal structure of TiCdCuOs2, with properties calculated at the GGA-PBE level.

Fermi-level density of states = 0.980 states/eV per atom
SG = P4/mmm, No. 123
Formation enthalpy at 0 K = 1398 meV per atom

POSCAR file:
```
TiCdCuOs2
1.0
4.547 0.000 0.000
0.000 4.547 0.000
0.000 0.000 4.461
Ti Cd Cu Os
1 1 1 2
direct
0.000 0.000 0.000
0.500 0.500 0.000
0.500 0.500 0.500
0.000 0.500 0.500
0.500 0.000 0.500
```

***

Below is an optimized crystal structure of Tm4CdCu2Os, with properties calculated at the GGA-PBE level.

Fermi-level density of states = 0.642 states/eV per atom
SG = R-3m, No. 166
Formation enthalpy at 0 K = -310 meV per atom

POSCAR file:
```
Tm4CdCu2Os
1.0
2.461 1.421 8.040
-2.461 1.421 8.040
0.000 -2.842 8.040
Tm Cd Cu Os
4 1 2 1
direct
0.117 0.117 0.117
0.368 0.368 0.368
0.632 0.632 0.632
0.883 0.883 0.883
0.500 0.500 0.500
0.245 0.245 0.245
0.755 0.755 0.755
0.000 0.000 0.000
```

***

| no. | calculated volume (Å³/atom) | calculated total energy (eV per cell) |
| --- | --- | --- |
| 1 | 21.012 | -25.303 |
| 2 | 21.951 | -23.246 |
| 3 | 18.448 | -28.375 |
| 4 | 21.083 | -40.704 |